! RuBr3 (PBE, relaxed); values from VASP
&SYSTEM
  ibrav = 0, nat = 4, ntyp = 2
/
ATOMIC_SPECIES
Br 79.90 Br.upf
Ru 101.07 Ru.upf
CELL_PARAMETERS angstrom
-1.299 3.136 3.750
-0.111 4.993 -0.802
-4.429 2.438 -0.162
ATOMIC_POSITIONS crystal
Br 0.250 0.250 0.250
Br 0.750 0.750 0.750
Ru 0.500 0.500 0.500
Br 0.000 0.000 0.000
! * V: 91.5 Å³/f.u.
! * E: -10.65 eV/cell
! * total magnetization: 3.612 μB/cell
! * ΔE_f (raw): 910.5 meV per atom